Density functional theory data (PBE) for a relaxed structure of CsMnTe2.

VASP energy, eV per atom: -4.543
Volume, Å³ per cell: 271.1

The structure in CIF format:
```
data_CsMnTe2
_symmetry_space_group_name_H-M 'C 1 2/m 1'
_symmetry_Int_Tables_number 12
_symmetry_space_group_name_Hall '-C 2y'
_cell_length_a 7.2764
_cell_length_b 4.2073
_cell_length_c 8.8539
_cell_angle_alpha 90.00
_cell_angle_beta 90.08
_cell_angle_gamma 90.00
loop_
_atom_site_label
_atom_site_fract_x
_atom_site_fract_y
_atom_site_fract_z
Cs1 0.0000 0.0000 0.0000
Mn1 0.0000 0.0000 0.5000
Te1 0.1664 0.5000 0.3327
```